{
  "formula": "CsBi3Sb",
  "functional": "PBE-GGA",
  "state": "relaxed",
  "rho_g_cm3": 6.138,
  "e_tot_ev_per_atom": -1.8163,
  "raw_formation_energy_ev_per_fu": 7.5,
  "total_magnetization_mub_per_fu": 0.00,
  "dos_ef_per_ev_cell": 9.2,
  "space_group": "Pm-3m, No. 221",
  "cell": [[6.2016, 0.0000, 0.0000], [0.0000, 6.2016, 0.0000], [0.0000, 0.0000, 6.2016]],
  "species": ["Cs", "Bi", "Bi", "Bi", "Sb"],
  "fractional_positions": [[0.0000, 0.0000, 0.0000], [0.0000, 0.0000, 0.5000], [0.0000, 0.5000, 0.0000], [0.5000, 0.0000, 0.0000], [0.5000, 0.5000, 0.5000]]
}